Record 1
# NdErPt

A relaxed structure of NdErPt (PBE, Alexandria).

Cell lengths 4.2858, 4.6596, 4.6596 Å; angles 120.00, 90.00, 90.00 degrees
Sites, in units of the cell vectors:
Nd  0.7153  0.6667  0.3333
Pt  0.0543  0.0000  0.0000
Er  0.2304  0.3333  0.6667

Results
Total moment   0.00 μB/f.u.
D(E_F)   2.75 states/eV/f.u.
Crystal system   trigonal
Offset from the most stable computed form   0.192 eV/atom
Energy of formation from the pure elements   -0.67 eV per atom

---

Record 2
# Pr2Co15Ni2

A relaxed structure of Pr2Co15Ni2 (PBE, Alexandria).

Cell lengths 6.3312, 6.3312, 6.3312 Å; angles 83.35, 83.35, 83.35 degrees
Each line ends with the local moment (μB).
Sites, in units of the cell vectors:
Pr  0.3422  0.3422  0.3422  -0.23
Pr  0.6578  0.6578  0.6578  -0.23
Co  0.5000  0.0000  0.0000  1.56
Co  0.0000  0.0000  0.5000  1.56
Co  0.0000  0.5000  0.0000  1.56
Co  0.0000  0.7181  0.2819  1.57
Co  0.7181  0.2819  0.0000  1.57
Co  0.2819  0.0000  0.7181  1.57
Co  0.2819  0.7181  0.0000  1.57
Co  0.7181  0.0000  0.2819  1.57
Co  0.0000  0.2819  0.7181  1.57
Co  0.1510  0.6570  0.6570  1.53
Co  0.6570  0.6570  0.1510  1.53
Co  0.6570  0.1510  0.6570  1.53
Co  0.8490  0.3430  0.3430  1.53
Co  0.3430  0.3430  0.8490  1.53
Co  0.3430  0.8490  0.3430  1.53
Ni  0.1003  0.1003  0.1003  0.58
Ni  0.8997  0.8997  0.8997  0.58

Results
Total moment   23.12 μB/f.u.
D(E_F)   21.81 states/eV/f.u.
Crystal system   trigonal
Energy of formation from the pure elements   -0.04 eV per atom

---

Record 3
# Ce2GePdS5

A relaxed structure of Ce2GePdS5 (PBE, Alexandria).

Cell lengths 3.9718, 9.1116, 11.0370 Å; angles 90.00, 90.00, 102.59 degrees
Each line ends with the local moment (μB).
Sites, in units of the cell vectors:
Ce  0.8905  0.7810  0.7936  0.63
Ce  0.1132  0.2264  0.6694  0.61
Ce  0.1095  0.2190  0.2936  0.63
Ce  0.8868  0.7736  0.1694  0.61
Ge  0.5922  0.1844  0.9699  0.01
Ge  0.4078  0.8156  0.4699  0.01
Pd  0.7490  0.4980  0.6114  -0.02
Pd  0.2510  0.5020  0.1114  -0.02
S  0.3621  0.7242  0.9845  -0.02
S  0.6881  0.3761  0.8163  0.00
S  0.5094  0.0189  0.7801  -0.02
S  0.3214  0.6427  0.6467  -0.01
S  0.9670  0.9340  0.5520  0.00
S  0.6379  0.2758  0.4845  -0.02
S  0.3119  0.6239  0.3163  0.00
S  0.4906  0.9811  0.2801  -0.02
S  0.6786  0.3573  0.1467  -0.01
S  0.0330  0.0660  0.0520  0.00

Results
Raw formation energy   -1.192 eV/atom
Total moment   1.31 μB/f.u.
D(E_F)   11.42 states/eV/f.u.
Crystal system   orthorhombic

---

Record 4
# Dy12Y3Mg

A relaxed structure of Dy12Y3Mg (PBE, Alexandria).

Cell lengths 4.9889, 4.9889, 20.0402 Å; angles 90.00, 90.00, 90.00 degrees
Sites, in units of the cell vectors:
Dy  0.5000  0.5000  0.0000
Dy  0.5000  0.5000  0.2454
Dy  0.5000  0.5000  0.5000
Dy  0.5000  0.5000  0.7546
Dy  0.5000  0.0000  0.1225
Dy  0.5000  0.0000  0.3737
Dy  0.5000  0.0000  0.6263
Dy  0.5000  0.0000  0.8775
Dy  0.0000  0.5000  0.1225
Dy  0.0000  0.5000  0.3737
Dy  0.0000  0.5000  0.6263
Dy  0.0000  0.5000  0.8775
Y  0.0000  0.0000  0.2479
Y  0.0000  0.0000  0.5000
Y  0.0000  0.0000  0.7521
Mg  0.0000  0.0000  0.0000

Results
Total moment   0.00 μB/f.u.
D(E_F)   21.41 states/eV/f.u.
Crystal system   tetragonal
Energy of formation from the pure elements   0.02 eV per atom

---

- Number 4 is which compound?
  Dy12Y3Mg

---

- What is the total moment in the third record?
  1.31 μB/f.u.

---

- Look up the D(E_F) of the second one.
  21.81 states/eV/f.u.